Record 1
DFT (PBE-GGA) results for a relaxed TaAuS3 crystal.

Values from the calculation:
Raw formation energy   8 meV per atom
Calculated total energy   -0.404 Ry per atom

Geometry as extended XYZ:
```
5
Lattice="-0.717 -3.604 -3.066 1.946 -3.051 3.131 -4.313 -0.777 1.923" Properties=species:S:1:pos:R:3 pbc="T T T"
S 0.973 -1.526 1.566
S -2.156 -0.389 0.961
S -0.359 -1.802 -1.533
Ta 0.000 0.000 0.000
Au -1.542 -3.716 0.994
```

Record 2
DFT (PBE-GGA) results for a relaxed TaAu3S crystal.

Values from the calculation:
E above lowest polymorph   239 meV/atom
Raw formation energy   1317 meV per atom
Calculated total energy   -0.283 Ry per atom

Geometry as extended XYZ:
```
5
Lattice="-3.671 2.757 2.274 -3.574 -2.830 -2.338 -0.002 -3.261 3.951" Properties=species:S:1:pos:R:3 pbc="T T T"
Au -1.836 1.379 1.137
Au -0.001 -1.631 1.976
Au -1.787 -1.415 -1.169
S -3.624 -1.667 1.943
Ta 0.000 0.000 0.000
```